A relaxed structure of MoPtN2F, computed with GGA+U.

a = 4.001 Å, b = 4.001 Å, c = 3.973 Å
α = 90.00°, β = 90.00°, γ = 90.00°
Fractional positions:
Mo 0.000 0.000 0.000
Pt 0.500 0.500 0.500
N 0.000 0.500 0.000
N 0.500 0.000 0.000
F 0.000 0.000 0.500

Uncorrected energy (eV/atom): -5.6588
Energy relative to the lowest polymorph listed for this composition (meV/atom): 0
Space group: No. 123